HfMnN2O: optimized geometry, PBE with a Hubbard U.

The uncorrected energy comes out at -8.240 eV/atom. The total moment comes out at 3.1 μB/f.u. The value obtained for the volume is 14.36 A^3/atom.

It has space group P4/mmm (No. 123), with a = 4.2121 Å, b = 4.2121 Å, c = 4.0468 Å, α = 90.00°, β = 90.00° and γ = 90.00°. Symmetry generates all atoms from Hf at (0.0000, 0.0000, 0.0000), Mn at (0.5000, 0.5000, 0.5000), N at (0.0000, 0.5000, 0.0000) and O at (0.0000, 0.0000, 0.5000).